The following is a DFT calculation (PBE+U) of a relaxed structure of Cr2SiF.

SG: No. 225
Spin magnetization: 7.2 Bohr magnetons per cell
ΔE to the lowest computed polymorph: 93 meV/atom
VASP energy: -5.78 eV/atom
Volume: 14.6 A^3/atom

Cell: 4.358 4.358 4.358 Å, 60.00 60.00 60.00°
Site moments in Bohr magnetons follow the coordinates.
Sites, in units of the cell vectors:
Cr  0.250  0.250  0.250  3.83
Cr  0.750  0.750  0.750  3.83
Si  0.500  0.500  0.500  -0.43
F  0.000  0.000  0.000  -0.08